Record 1
VASP calculation (GGA-PBE) on a geometry-optimized KGeP2 structure.

For the formation enthalpy at 0 K, the calculation gives 0.32 eV per atom. The calculation puts the volume at 24.74 A^3/atom. For the magnetic moment, the calculation gives 0.00 μB/f.u.

The space group is R-3m (No. 166, hexagonal axes) and the conventional cell measures 3.5588, 3.5588 and 27.0638 Å, with angles of 90.00, 90.00 and 120.00 degrees. The asymmetric unit holds K at (0.0000, 0.0000, 0.0000), Ge at (0.0000, 0.0000, 0.5000) and P at (0.0000, 0.0000, 0.1127).

Record 2
VASP calculation (GGA-PBE) on a geometry-optimized AlPIr structure.

For the formation enthalpy at 0 K, the calculation gives -0.20 eV per atom. The calculation puts the volume at 14.48 A^3/atom. For the magnetic moment, the calculation gives 0.00 μB/f.u.

The space group is I4mm (No. 107) and the conventional cell measures 2.848, 2.848 and 10.706 Å, with angles of 90.00, 90.00 and 90.00 degrees. The asymmetric unit holds Al at (0.000, 0.000, 0.000), P at (0.000, 0.000, 0.687) and Ir at (0.000, 0.000, 0.334).

Record 3
VASP calculation (GGA-PBE) on a geometry-optimized YInRu2C structure.

For the formation enthalpy at 0 K, the calculation gives 2.85 eV per atom. The calculation puts the volume at 28.47 A^3/atom. For the magnetic moment, the calculation gives 4.15 μB/f.u.

The space group is P4/mmm (No. 123) and the conventional cell measures 4.904, 4.904 and 5.919 Å, with angles of 90.00, 90.00 and 90.00 degrees. The asymmetric unit holds Y at (0.000, 0.000, 0.000), In at (0.000, 0.000, 0.500), Ru at (0.000, 0.500, 0.000) and C at (0.500, 0.500, 0.500).

Record 4
VASP calculation (GGA-PBE) on a geometry-optimized Sm5DyY structure.

For the formation enthalpy at 0 K, the calculation gives 0.17 eV per atom. The calculation puts the volume at 33.53 A^3/atom. The calculation puts the energy relative to the lowest polymorph listed for this composition at 3 meV per atom. For the magnetic moment, the calculation gives 0.00 μB/f.u.

The space group is C2/c (No. 15) and the conventional cell measures 11.915, 6.824 and 12.393 Å, with angles of 90.00, 111.30 and 90.00 degrees. The asymmetric unit holds Sm at (0.000, 0.081, 0.250), Sm at (0.080, 0.240, 0.002), Sm at (0.218, 0.133, 0.745), Dy at (0.000, 0.474, 0.750) and Y at (0.250, 0.250, 0.500).

Record 5
VASP calculation (GGA-PBE) on a geometry-optimized Y3MnFe8 structure.

For the formation enthalpy at 0 K, the calculation gives 0.00 eV per atom. The calculation puts the volume at 15.13 A^3/atom. For the magnetic moment, the calculation gives 17.49 μB/f.u.

The space group is R3m (No. 160, hexagonal axes) and the conventional cell measures 5.0439, 5.0439 and 24.7235 Å, with angles of 90.00, 90.00 and 120.00 degrees. The asymmetric unit holds Y at (0.0000, 0.0000, 0.0000), Y at (0.0000, 0.0000, 0.1280), Y at (0.0000, 0.0000, 0.5085), Mn at (0.0000, 0.0000, 0.6300), Fe at (0.0000, 0.0000, 0.3156), Fe at (0.0000, 0.0000, 0.8164), Fe at (0.9999, 0.5000, 0.5682) and Fe at (0.1686, 0.3373, 0.3969).

Record 6
VASP calculation (GGA-PBE) on a geometry-optimized BaSn2Bi structure.

For the formation enthalpy at 0 K, the calculation gives -0.43 eV per atom. The calculation puts the volume at 35.46 A^3/atom. For the magnetic moment, the calculation gives 0.00 μB/f.u.

The space group is P2_1/m (No. 11) and the conventional cell measures 5.524, 7.857 and 7.092 Å, with angles of 90.00, 112.84 and 90.00 degrees. The asymmetric unit holds Ba at (0.123, 0.250, 0.247), Sn at (0.393, 0.057, 0.786) and Bi at (0.158, 0.750, 0.318).

Look up the magnetic moment of the third one. 4.15 μB/f.u.